Density functional theory data (GGA-PBEsol) for a geometry-optimized P2PbAu structure.

The structure in CIF format:
```
data_P2PbAu
_cell_length_a 3.654
_cell_length_b 4.270
_cell_length_c 4.927
_cell_angle_alpha 90.00
_cell_angle_beta 90.00
_cell_angle_gamma 90.00
_symmetry_space_group_name_H-M 'P m m m'
_symmetry_Int_Tables_number 47
_symmetry_space_group_name_Hall '-P 2 2'
loop_
_atom_site_label
_atom_site_type_symbol
_atom_site_fract_x
_atom_site_fract_y
_atom_site_fract_z
P1 P 0.000 0.000 0.000
P2 P 0.500 0.000 0.500
Pb1 Pb 0.000 0.500 0.500
Au1 Au 0.500 0.500 0.000
```

Summary:
Formation energy ... 0.53 eV per atom